(1)
Material: LaTc3Te
Method: DFT, PBE
State: relaxed

The space group is Pm-3m (No. 221) and the conventional cell measures 4.848, 4.848 and 4.848 Å, with angles of 90.00, 90.00 and 90.00 degrees. The asymmetric unit holds La at (0.000, 0.000, 0.000), Tc at (0.000, 0.000, 0.500) and Te at (0.500, 0.500, 0.500).

As for the offset from the most stable computed form: 1064.0 meV per atom.

=====

(2)
Material: La2TcTe
Method: DFT, PBE
State: relaxed

The space group is I-42d (No. 122) and the conventional cell measures 8.199, 8.199 and 6.631 Å, with angles of 90.00, 90.00 and 90.00 degrees. The asymmetric unit holds La at (0.182, 0.250, 0.125), Tc at (0.000, 0.000, 0.000) and Te at (0.000, 0.000, 0.500).

As for the offset from the most stable computed form: 175.9 meV per atom.

=====

(3)
Material: La2TcTe
Method: DFT, PBE
State: relaxed

The space group is P4mm (No. 99) and the conventional cell measures 3.461, 3.461 and 9.129 Å, with angles of 90.00, 90.00 and 90.00 degrees. The asymmetric unit holds La at (0.000, 0.000, 0.000), La at (0.500, 0.500, 0.369), Tc at (0.000, 0.000, 0.598) and Te at (0.500, 0.500, 0.743).

As for the offset from the most stable computed form: 447.9 meV per atom.

=====

(4)
Material: La2TcTe
Method: DFT, PBE
State: relaxed

The space group is Amm2 (No. 38) and the conventional cell measures 4.406, 4.650 and 10.870 Å, with angles of 90.00, 90.00 and 90.00 degrees. The asymmetric unit holds La at (0.000, 0.000, 0.000), La at (0.500, 0.000, 0.305), Tc at (0.000, 0.000, 0.781) and Te at (0.500, 0.000, 0.600).

As for the offset from the most stable computed form: 0.0 meV per atom.

=====

(5)
Material: La2TcTe
Method: DFT, PBE
State: relaxed

The space group is P2/m (No. 10) and the conventional cell measures 3.851, 3.860 and 7.265 Å, with angles of 90.00, 90.41 and 90.00 degrees. The asymmetric unit holds La at (0.005, 0.000, 0.273), Tc at (0.500, 0.500, 0.500) and Te at (0.500, 0.500, 0.000).

As for the offset from the most stable computed form: 73.1 meV per atom.

=====

(6)
Material: LaTc3Te
Method: DFT, PBE
State: relaxed

The space group is Pm-3m (No. 221) and the conventional cell measures 4.897, 4.897 and 4.897 Å, with angles of 90.00, 90.00 and 90.00 degrees. The asymmetric unit holds La at (0.000, 0.000, 0.000), Tc at (0.000, 0.500, 0.500) and Te at (0.500, 0.500, 0.500).

As for the offset from the most stable computed form: 0.0 meV per atom.

=====

(7)
Material: LaTc4Te
Method: DFT, PBE
State: relaxed

The space group is F-43m (No. 216) and the conventional cell measures 7.682, 7.682 and 7.682 Å, with angles of 90.00, 90.00 and 90.00 degrees. The asymmetric unit holds La at (0.000, 0.000, 0.000), Tc at (0.123, 0.123, 0.623) and Te at (0.250, 0.250, 0.250).

=====

(8)
Material: La2TcTe
Method: DFT, PBE
State: relaxed

The space group is Cmmm (No. 65) and the conventional cell measures 4.691, 5.738 and 8.178 Å, with angles of 90.00, 90.00 and 90.00 degrees. The asymmetric unit holds La at (0.000, 0.000, 0.217), Tc at (0.000, 0.500, 0.000) and Te at (0.000, 0.500, 0.500).

As for the offset from the most stable computed form: 76.5 meV per atom.

=====

Raw formation energy values, unit meV/atom, following the record order: 2042, -354, -82, -530, -457, 978, 306, -454.